Run A
This record from Alexandria describes SrHgCl after structural relaxation. The functional is PBE-GGA.

Cell and atoms, written as extended XYZ:
```
6
Lattice="3.9841 0.0000 0.0000 0.0000 3.9841 0.0000 0.0000 0.0000 10.4312" Properties=species:S:1:pos:R:3 pbc="T T T"
Sr 0.9960 0.9960 2.3127
Sr 2.9881 2.9881 8.1185
Hg 0.9960 0.9960 5.9507
Hg 2.9881 2.9881 4.4805
Cl 0.9960 0.9960 9.4112
Cl 2.9881 2.9881 1.0200
```

## Properties
DOS(E_F)	0.21	states/eV per atom
total magnetization	0.00	μB per cell

=====

Run B
This record from Alexandria describes SrHgCl after structural relaxation. The functional is PBE-GGA.

Cell and atoms, written as extended XYZ:
```
6
Lattice="3.5961 -2.6260 0.0000 3.5961 2.6260 0.0000 -0.8159 0.0000 9.8147" Properties=species:S:1:pos:R:3 pbc="T T T"
Sr 0.0000 0.0000 0.0000
Sr 3.5407 0.0000 4.3422
Hg 0.9503 0.0000 6.5745
Hg 3.7928 0.0000 7.7492
Cl 2.6938 0.0000 1.1855
Cl 6.2682 0.0000 3.2353
```

## Properties
DOS(E_F)	0.35	states/eV per atom
total magnetization	0.00	μB per cell

=====

Quick look at relative energies in meV per atom: run A 5; run B 0.

=====

Run A
This record from Alexandria describes KTlAs2 after structural relaxation. The functional is PBE-GGA.

Cell and atoms, written as extended XYZ:
```
4
Lattice="0.0000 3.7441 3.7441 3.7441 0.0000 3.7441 3.7441 3.7441 0.0000" Properties=species:S:1:pos:R:3 pbc="T T T"
K 0.0000 0.0000 0.0000
Tl 3.7441 3.7441 3.7441
As 1.8720 1.8720 1.8720
As 5.6161 5.6161 5.6161
```

## Properties
DOS(E_F)	1.05	states/eV per atom
total magnetization	0.00	μB per cell

=====

Run B
This record from Alexandria describes KTlAs2 after structural relaxation. The functional is PBE-GGA.

Cell and atoms, written as extended XYZ:
```
4
Lattice="5.2650 0.0000 0.0000 0.0000 3.7956 0.0000 -1.8840 0.0000 6.2711" Properties=species:S:1:pos:R:3 pbc="T T T"
K 0.0000 0.0000 0.0000
Tl 0.7101 1.8978 3.5772
As 2.6117 1.8978 1.2981
As 3.3224 0.0000 2.7985
```

## Properties
DOS(E_F)	0.07	states/eV per atom
total magnetization	0.00	μB per cell

=====

Quick look at relative energies in meV per atom: run A 490; run B 0.